Computed, not measured: crystalline BaSrInWO6 at its relaxed geometry at the PBE with a Hubbard U level of DFT.

Properties
- final energy (eV per atom) = -6.670
- space-group type = P-1, No. 2

Cell lengths 5.8724, 5.8896, 8.3340 Å; angles 89.79, 89.88, 89.68 degrees
Closest atoms and distances in Å follow each position.
Sites, in units of the cell vectors:
Ba (0.5084, 0.5020, 0.7513)  9 O 2.71-3.00
Ba (0.4916, 0.4980, 0.2487)  9 O 2.71-3.00
O (0.2293, 0.2153, 0.4589)  1 W 2.06, 1 In 2.17
O (0.5367, 0.9551, 0.2579)  1 W 2.05, 1 In 2.18
O (0.7153, 0.2524, 0.4856)  1 W 1.96
O (0.9897, 0.5622, 0.2422)  1 W 2.05, 1 In 2.18
O (0.2847, 0.7476, 0.5144)  1 W 1.96
O (0.7807, 0.7484, 0.9658)  1 W 1.96
O (0.2193, 0.2516, 0.0342)  1 W 1.96
O (0.7487, 0.2649, 0.0213)  1 W 2.04, 1 In 2.15
O (0.7707, 0.7847, 0.5411)  1 W 2.06, 1 In 2.17
O (0.2513, 0.7351, 0.9787)  1 W 2.04, 1 In 2.15
O (0.0103, 0.4378, 0.7578)  1 W 2.05, 1 In 2.18
O (0.4633, 0.0449, 0.7421)  1 W 2.05, 1 In 2.18
W (0.5000, 0.0000, 0.5000)  6 O 1.96-2.06
W (0.0000, 0.5000, 0.0000)  6 O 1.96-2.05
Sr (0.9838, 0.9997, 0.2500)  5 O 2.58-2.82
Sr (0.0162, 0.0003, 0.7500)  5 O 2.58-2.82
In (0.0000, 0.5000, 0.5000)  6 O 2.17-2.23
In (0.5000, 0.0000, 0.0000)  6 O 2.15-2.23